# 1
# NaInOF2, relaxed, DFT PBE
data_NaInOF2
_space_group_name_H-M_alt 'P 4/m m m'
_space_group_IT_number 123
_space_group_name_Hall '-P 4 2'
_cell_length_a 4.374
_cell_length_b 4.374
_cell_length_c 4.021
_cell_angle_alpha 90.00
_cell_angle_beta 90.00
_cell_angle_gamma 90.00
loop_
_atom_site_label
_atom_site_fract_x
_atom_site_fract_y
_atom_site_fract_z
Na1 0.000 0.000 0.000
In1 0.500 0.500 0.500
O1 0.500 0.500 0.000
F1 0.000 0.500 0.500
# **Energy above the lowest structure with this stoichiometry**: 0 meV/atom
# **Crystal system**: tetragonal

# 2
# NaInO2F, relaxed, DFT PBE
data_NaInO2F
_space_group_name_H-M_alt 'P 4/m m m'
_space_group_IT_number 123
_space_group_name_Hall '-P 4 2'
_cell_length_a 4.160
_cell_length_b 4.160
_cell_length_c 4.409
_cell_angle_alpha 90.00
_cell_angle_beta 90.00
_cell_angle_gamma 90.00
loop_
_atom_site_label
_atom_site_fract_x
_atom_site_fract_y
_atom_site_fract_z
Na1 0.000 0.000 0.000
In1 0.500 0.500 0.500
O1 0.000 0.500 0.500
F1 0.500 0.500 0.000
# **Crystal system**: tetragonal
# **E**: -4.6201 eV/atom

# 3
# NaInOF2, relaxed, DFT PBE
data_NaInOF2
_space_group_name_H-M_alt 'P 4/m m m'
_space_group_IT_number 123
_space_group_name_Hall '-P 4 2'
_cell_length_a 3.934
_cell_length_b 3.934
_cell_length_c 4.326
_cell_angle_alpha 90.00
_cell_angle_beta 90.00
_cell_angle_gamma 90.00
loop_
_atom_site_label
_atom_site_fract_x
_atom_site_fract_y
_atom_site_fract_z
Na1 0.000 0.000 0.000
In1 0.500 0.500 0.500
O1 0.000 0.000 0.500
F1 0.000 0.500 0.000
# **Energy above the lowest structure with this stoichiometry**: 844 meV/atom
# **Crystal system**: tetragonal

# 4
# NaInO2F, relaxed, DFT PBE
data_NaInO2F
_space_group_name_H-M_alt 'P 4/m m m'
_space_group_IT_number 123
_space_group_name_Hall '-P 4 2'
_cell_length_a 4.110
_cell_length_b 4.110
_cell_length_c 3.942
_cell_angle_alpha 90.00
_cell_angle_beta 90.00
_cell_angle_gamma 90.00
loop_
_atom_site_label
_atom_site_fract_x
_atom_site_fract_y
_atom_site_fract_z
Na1 0.000 0.000 0.000
In1 0.500 0.500 0.500
O1 0.000 0.500 0.000
F1 0.000 0.000 0.500
# **Crystal system**: tetragonal
# **E**: -3.7146 eV/atom

Computed V (Å³ per cell) in order:
76.9; 76.3; 67.0; 66.6